A plane-wave DFT calculation with PBE was carried out for an optimized crystal structure of HoAlAu.

abc: 5.6225 4.1552 10.6156
angles: 90.00 90.00 90.00
Fractional coordinates of all 12 atoms:
Ho: 0.2476 0.2500 0.0498
Ho: 0.2524 0.7500 0.5498
Ho: 0.7476 0.2500 0.4502
Ho: 0.7524 0.7500 0.9502
Al: 0.0047 0.2500 0.7504
Al: 0.4953 0.7500 0.2504
Al: 0.5047 0.2500 0.7496
Al: 0.9953 0.7500 0.2496
Au: 0.2455 0.2500 0.3481
Au: 0.2545 0.7500 0.8481
Au: 0.7455 0.2500 0.1519
Au: 0.7545 0.7500 0.6519

Computed properties:
- VASP energy (eV/atom) = -4.5891
- symmetry = No. 62
- total moment (μB per cell) = 0.008
- V (Å³/f.u.) = 62.00